Entry 1:
DFT (PBE) results for crystalline Ti4SnSb2 at its relaxed geometry.

Values from the calculation:
Formation energy without anion corrections, eV per atom: -0.417
Fermi-level density of states, states/eV/cell: 8.097
Energy above the lowest structure with this stoichiometry, meV/atom: 0
Space-group type: I-42d

Geometry as CIF:
```
data_Ti4SnSb2
_space_group_name_H-M_alt 'P 1'
_space_group_IT_number 1
_space_group_name_Hall 'P 1'
_cell_length_a 7.1047
_cell_length_b 7.1047
_cell_length_c 7.1048
_cell_angle_alpha 109.44
_cell_angle_beta 109.45
_cell_angle_gamma 109.52
loop_
_atom_site_label
_atom_site_fract_x
_atom_site_fract_y
_atom_site_fract_z
Sb1 0.6248 0.2471 0.1221
Sb2 0.7529 0.8750 0.3778
Sb3 0.4971 0.3749 0.6221
Sb4 0.1250 0.5028 0.8777
Ti1 0.3783 0.4654 0.2493
Ti2 0.0339 0.2848 0.4131
Ti3 0.8708 0.6214 0.0868
Ti4 0.3794 0.9660 0.2508
Ti5 0.5348 0.7839 0.9132
Ti6 0.8714 0.6208 0.5868
Ti7 0.2160 0.1293 0.7508
Ti8 0.7154 0.1285 0.7493
Sn1 0.0001 0.9999 0.0001
Sn2 0.2500 0.7502 0.5001
```


Entry 2:
DFT (PBE) results for crystalline Ti2Sn2Sb at its relaxed geometry.

Values from the calculation:
Formation energy without anion corrections, eV per atom: -0.223
Fermi-level density of states, states/eV/cell: 8.429
Energy above the lowest structure with this stoichiometry, meV/atom: 0
Space-group type: P4/mbm

Geometry as CIF:
```
data_Ti2Sn2Sb
_space_group_name_H-M_alt 'P 1'
_space_group_IT_number 1
_space_group_name_Hall 'P 1'
_cell_length_a 7.2279
_cell_length_b 7.2279
_cell_length_c 4.1165
_cell_angle_alpha 90.00
_cell_angle_beta 90.00
_cell_angle_gamma 90.00
loop_
_atom_site_label
_atom_site_fract_x
_atom_site_fract_y
_atom_site_fract_z
Ti1 0.6450 0.1450 0.0000
Ti2 0.3550 0.8550 0.0000
Ti3 0.8550 0.6450 0.0000
Ti4 0.1450 0.3550 0.0000
Sn1 0.6553 0.8447 0.5000
Sn2 0.8447 0.3447 0.5000
Sn3 0.3447 0.1553 0.5000
Sn4 0.1553 0.6553 0.5000
Sb1 0.5000 0.5000 0.0000
Sb2 0.0000 0.0000 0.0000
```


Entry 3:
DFT (PBE) results for crystalline Ti4Sn2Sb at its relaxed geometry.

Values from the calculation:
Formation energy without anion corrections, eV per atom: -0.256
Fermi-level density of states, states/eV/cell: 15.830
Energy above the lowest structure with this stoichiometry, meV/atom: 0
Space-group type: P2_1/m

Geometry as CIF:
```
data_Ti4Sn2Sb
_space_group_name_H-M_alt 'P 1'
_space_group_IT_number 1
_space_group_name_Hall 'P 1'
_cell_length_a 5.3394
_cell_length_b 5.6985
_cell_length_c 9.3175
_cell_angle_alpha 90.00
_cell_angle_beta 98.34
_cell_angle_gamma 90.00
loop_
_atom_site_label
_atom_site_fract_x
_atom_site_fract_y
_atom_site_fract_z
Ti1 0.3996 0.0004 0.7318
Ti2 0.8733 0.2500 0.5421
Ti3 0.0271 0.2500 0.2000
Ti4 0.3996 0.4996 0.7318
Ti5 0.6004 0.5004 0.2682
Ti6 0.9729 0.7500 0.8000
Ti7 0.6004 0.9996 0.2682
Ti8 0.1267 0.7500 0.4579
Sn1 0.5172 0.7500 0.9870
Sn2 0.4828 0.2500 0.0130
Sn3 0.6605 0.7500 0.5354
Sn4 0.3395 0.2500 0.4646
Sb1 0.9456 0.2500 0.8439
Sb2 0.0544 0.7500 0.1561
```


Entry 4:
DFT (PBE) results for crystalline Ti2SnSb at its relaxed geometry.

Values from the calculation:
Formation energy without anion corrections, eV per atom: 0.501
Fermi-level density of states, states/eV/cell: 11.078
Space-group type: I-42d

Geometry as CIF:
```
data_Ti2SnSb
_space_group_name_H-M_alt 'P 1'
_space_group_IT_number 1
_space_group_name_Hall 'P 1'
_cell_length_a 6.2355
_cell_length_b 6.2355
_cell_length_c 7.7414
_cell_angle_alpha 66.25
_cell_angle_beta 66.25
_cell_angle_gamma 90.00
loop_
_atom_site_label
_atom_site_fract_x
_atom_site_fract_y
_atom_site_fract_z
Ti1 0.3750 0.3760 0.7500
Ti2 0.8750 0.8740 0.7500
Ti3 0.6240 0.1250 0.2500
Ti4 0.1260 0.6250 0.2500
Sb1 0.0000 0.0000 0.0000
Sb2 0.7500 0.2500 0.5000
Sn1 0.5000 0.5000 0.0000
Sn2 0.2500 0.7500 0.5000
```


Entry 5:
DFT (PBE) results for crystalline TiSnSb2 at its relaxed geometry.

Values from the calculation:
Formation energy without anion corrections, eV per atom: 0.120
Fermi-level density of states, states/eV/cell: 2.599
Space-group type: I-42d

Geometry as CIF:
```
data_TiSnSb2
_space_group_name_H-M_alt 'P 1'
_space_group_IT_number 1
_space_group_name_Hall 'P 1'
_cell_length_a 6.5309
_cell_length_b 6.5309
_cell_length_c 8.0266
_cell_angle_alpha 65.99
_cell_angle_beta 65.99
_cell_angle_gamma 90.00
loop_
_atom_site_label
_atom_site_fract_x
_atom_site_fract_y
_atom_site_fract_z
Sn1 0.0000 0.0000 0.0000
Sn2 0.7500 0.2500 0.5000
Ti1 0.2500 0.7500 0.5000
Ti2 0.5000 0.5000 0.0000
Sb1 0.1632 0.6250 0.2500
Sb2 0.8750 0.8368 0.7500
Sb3 0.5868 0.1250 0.2500
Sb4 0.3750 0.4132 0.7500
```


Entry 6:
DFT (PBE) results for crystalline Tl12Sn2Sb at its relaxed geometry.

Values from the calculation:
Formation energy without anion corrections, eV per atom: 0.133
Fermi-level density of states, states/eV/cell: 15.261
Space-group type: P4/nbm

Geometry as CIF:
```
data_Tl12Sn2Sb
_space_group_name_H-M_alt 'P 1'
_space_group_IT_number 1
_space_group_name_Hall 'P 1'
_cell_length_a 6.6530
_cell_length_b 6.6530
_cell_length_c 22.8950
_cell_angle_alpha 90.00
_cell_angle_beta 90.00
_cell_angle_gamma 90.00
loop_
_atom_site_label
_atom_site_fract_x
_atom_site_fract_y
_atom_site_fract_z
Tl1 0.5000 0.5000 0.3364
Tl2 0.3274 0.1726 0.5674
Tl3 0.2500 0.2500 0.9036
Tl4 0.3274 0.8274 0.4326
Tl5 0.7500 0.2500 0.0964
Tl6 0.0000 0.0000 0.3364
Tl7 0.0000 0.0000 0.2034
Tl8 0.5000 0.5000 0.7966
Tl9 0.1726 0.3274 0.4326
Tl10 0.5000 0.5000 0.6636
Tl11 0.7500 0.7500 0.9036
Tl12 0.2500 0.7500 0.0964
Tl13 0.6726 0.8274 0.5674
Tl14 0.0000 0.0000 0.7966
Tl15 0.7500 0.7500 0.0964
Tl16 0.6726 0.1726 0.4326
Tl17 0.5000 0.5000 0.2034
Tl18 0.8274 0.3274 0.5674
Tl19 0.1726 0.6726 0.5674
Tl20 0.7500 0.2500 0.9036
Tl21 0.2500 0.7500 0.9036
Tl22 0.2500 0.2500 0.0964
Tl23 0.8274 0.6726 0.4326
Tl24 0.0000 0.0000 0.6636
Sn1 0.5000 0.0000 0.7043
Sn2 0.5000 0.0000 0.2957
Sn3 0.0000 0.5000 0.2957
Sn4 0.0000 0.5000 0.7043
Sb1 0.5000 0.0000 0.0000
Sb2 0.0000 0.5000 0.0000
```


Spin magnetization (μB/cell)
0.00 0.00 0.32 0.01 0.00 0.00